Record 1
Below is a relaxed Ba6Rh crystal, with properties calculated at the GGA-PBE level.

Computed properties:
- N(E_F) (states/eV/cell) = 26.978
- crystal system = orthorhombic
- energy relative to the elements (eV/atom) = -0.1492

Unit cell a=7.851 b=13.592 c=14.891 alpha=90.00 beta=90.00 gamma=90.00
Element x y z (fractional)
Ba  0.772  0.250  0.502
Ba  0.228  0.750  0.498
Ba  0.272  0.750  0.998
Ba  0.728  0.250  0.002
Ba  0.402  0.250  0.747
Ba  0.598  0.750  0.253
Ba  0.902  0.750  0.753
Ba  0.098  0.250  0.247
Ba  0.251  0.411  0.508
Ba  0.749  0.589  0.492
Ba  0.751  0.589  0.992
Ba  0.749  0.911  0.492
Ba  0.249  0.411  0.008
Ba  0.251  0.089  0.508
Ba  0.249  0.089  0.008
Ba  0.751  0.911  0.992
Ba  0.921  0.410  0.743
Ba  0.079  0.590  0.257
Ba  0.421  0.590  0.757
Ba  0.079  0.910  0.257
Ba  0.579  0.410  0.243
Ba  0.921  0.090  0.743
Ba  0.579  0.090  0.243
Ba  0.421  0.910  0.757
Rh  0.086  0.250  0.625
Rh  0.914  0.750  0.375
Rh  0.586  0.750  0.875
Rh  0.414  0.250  0.125

Record 2
Below is a relaxed Al4Se crystal, with properties calculated at the GGA-PBE level.

Computed properties:
- N(E_F) (states/eV/cell) = 5.061
- crystal system = cubic
- polymorph energy (0 for the lowest one) (eV/atom) = 0.575

Unit cell a=4.945 b=4.945 c=4.945 alpha=90.00 beta=90.00 gamma=90.00
Element x y z (fractional)
Al  0.000  0.000  0.000
Al  0.500  0.000  0.500
Al  0.000  0.500  0.500
Al  0.500  0.500  0.000
Se  0.500  0.500  0.500

Question: Among the records above, which one has the lowest N(E_F)?
Answer: Al4Se

Question: What is the formula in the first record?
Answer: Ba6Rh

Question: Among the records above, which one has the lowest N(E_F)?
Answer: Al4Se